AsPBr2 | Alexandria via LeMat-Bulk | PBE | relaxed; calculated volume = 113 Å³ per cell; M_tot = 0.0000 μB/atom; E above lowest polymorph = 354 meV/atom; energy relative to the elements, uncorrected = 191 meV per atom; final energy = -3.160 eV per atom
1.0
8.219 -1.820 0.000
8.219 1.820 0.000
-0.121 0.000 3.785
As P Br
1 1 2
direct
0.000 0.000 0.000
0.500 0.500 0.500
0.144 0.144 0.731
0.856 0.856 0.269